No. 1
{"formula": "CaZn3P", "functional": "PBE-GGA", "state": "relaxed", "formation_enthalpy_0k_mev_per_atom": 1149.8, "vol_a3_per_cell": 177.2, "final_energy_ev_per_atom": -1.097, "lattice": [[5.616, 0.000, 0.000], [0.000, 5.616, 0.000], [0.000, 0.000, 5.616]], "species": ["Ca", "Zn", "Zn", "Zn", "P"], "frac_coords": [[0.000, 0.000, 0.000], [0.000, 0.000, 0.500], [0.000, 0.500, 0.000], [0.500, 0.000, 0.000], [0.500, 0.500, 0.500]]}

No. 2
{"formula": "Ca2ZnP", "functional": "PBE-GGA", "state": "relaxed", "formation_enthalpy_0k_mev_per_atom": -549.2, "vol_a3_per_cell": 101.9, "final_energy_ev_per_atom": -3.221, "lattice": [[-1.956, 2.122, 6.139], [1.956, -2.122, 6.139], [1.956, 2.122, -6.139]], "species": ["Ca", "Ca", "Zn", "P"], "frac_coords": [[0.000, 0.000, 0.000], [0.750, 0.250, 0.500], [0.309, 0.809, 0.500], [0.438, 0.438, 0.000]]}

No. 3
{"formula": "CaZnP", "functional": "PBE-GGA", "state": "relaxed", "formation_enthalpy_0k_mev_per_atom": -635.2, "vol_a3_per_cell": 120.6, "final_energy_ev_per_atom": -3.530, "lattice": [[4.027, 0.000, 0.000], [-2.014, 3.488, 0.000], [0.000, 0.000, 8.586]], "species": ["Ca", "Ca", "Zn", "Zn", "P", "P"], "frac_coords": [[0.000, 0.000, 0.000], [0.000, 0.000, 0.500], [0.333, 0.667, 0.250], [0.667, 0.333, 0.750], [0.333, 0.667, 0.750], [0.667, 0.333, 0.250]]}

No. 4
{"formula": "CaZn2P", "functional": "PBE-GGA", "state": "relaxed", "formation_enthalpy_0k_mev_per_atom": -205.4, "vol_a3_per_cell": 85.0, "final_energy_ev_per_atom": -2.695, "lattice": [[1.987, 1.147, 6.209], [-1.987, 1.147, 6.209], [0.000, -2.295, 6.209]], "species": ["Ca", "Zn", "Zn", "P"], "frac_coords": [[0.000, 0.000, 0.000], [0.223, 0.223, 0.223], [0.777, 0.777, 0.777], [0.500, 0.500, 0.500]]}

No. 5
{"formula": "Ca2ZnP", "functional": "PBE-GGA", "state": "relaxed", "formation_enthalpy_0k_mev_per_atom": -484.5, "vol_a3_per_cell": 108.1, "final_energy_ev_per_atom": -3.156, "lattice": [[1.997, 1.153, 7.825], [-1.997, 1.153, 7.825], [0.000, -2.306, 7.825]], "species": ["Ca", "Ca", "Zn", "P"], "frac_coords": [[0.000, 0.000, 0.000], [0.190, 0.190, 0.190], [0.440, 0.440, 0.440], [0.744, 0.744, 0.744]]}

No. 6
{"formula": "Ca2ZnP", "functional": "PBE-GGA", "state": "relaxed", "formation_enthalpy_0k_mev_per_atom": -601.2, "vol_a3_per_cell": 111.5, "final_energy_ev_per_atom": -3.273, "lattice": [[3.709, -2.136, 0.000], [3.709, 2.136, 0.000], [-2.450, 0.000, 7.041]], "species": ["Ca", "Ca", "Zn", "P"], "frac_coords": [[0.233, 0.233, 0.202], [0.767, 0.767, 0.798], [0.000, 0.000, 0.500], [0.500, 0.500, 0.000]]}

Repeat the second record exactly.
{"formula": "Ca2ZnP", "functional": "PBE-GGA", "state": "relaxed", "formation_enthalpy_0k_mev_per_atom": -549.2, "vol_a3_per_cell": 101.9, "final_energy_ev_per_atom": -3.221, "lattice": [[-1.956, 2.122, 6.139], [1.956, -2.122, 6.139], [1.956, 2.122, -6.139]], "species": ["Ca", "Ca", "Zn", "P"], "frac_coords": [[0.000, 0.000, 0.000], [0.750, 0.250, 0.500], [0.309, 0.809, 0.500], [0.438, 0.438, 0.000]]}

Copy entry 1 word for word.
{"formula": "CaZn3P", "functional": "PBE-GGA", "state": "relaxed", "formation_enthalpy_0k_mev_per_atom": 1149.8, "vol_a3_per_cell": 177.2, "final_energy_ev_per_atom": -1.097, "lattice": [[5.616, 0.000, 0.000], [0.000, 5.616, 0.000], [0.000, 0.000, 5.616]], "species": ["Ca", "Zn", "Zn", "Zn", "P"], "frac_coords": [[0.000, 0.000, 0.000], [0.000, 0.000, 0.500], [0.000, 0.500, 0.000], [0.500, 0.000, 0.000], [0.500, 0.500, 0.500]]}